(1)
{
  "formula": "ReSiNi2",
  "functional": "PBE-GGA",
  "state": "optimized geometry",
  "space_group": "No. 139",
  "raw_formation_energy_ev_per_atom": -0.0483,
  "e_tot_ry_per_atom": -0.5444,
  "cell": [[-2.940, -2.143, -2.655], [1.824, -0.824, -4.035], [1.431, -0.773, 4.201]],
  "species": ["Ni", "Ni", "Re", "Si"],
  "fractional_positions": [[0.000, 0.000, 0.000], [0.500, 0.500, 0.000], [0.250, 0.750, 0.500], [0.750, 0.250, 0.500]]
}

(2)
{
  "formula": "ReSiNi2",
  "functional": "PBE-GGA",
  "state": "optimized geometry",
  "space_group": "No. 10",
  "raw_formation_energy_ev_per_atom": -0.1336,
  "e_tot_ry_per_atom": -0.5507,
  "cell": [[3.855, 0.000, 0.000], [0.000, 2.651, 0.003], [0.000, 1.255, 4.800]],
  "species": ["Ni", "Ni", "Re", "Si"],
  "fractional_positions": [[0.000, 0.890, 0.990], [0.000, 0.610, 0.510], [0.500, 0.250, 0.250], [0.500, 0.750, 0.750]]
}

(3)
{
  "formula": "Re2SiNi",
  "functional": "PBE-GGA",
  "state": "optimized geometry",
  "space_group": "No. 38",
  "raw_formation_energy_ev_per_atom": -0.1390,
  "e_tot_ry_per_atom": -0.6736,
  "cell": [[3.987, 0.000, 0.000], [0.000, 2.770, 0.000], [0.000, 1.384, 4.800]],
  "species": ["Ni", "Re", "Re", "Si"],
  "fractional_positions": [[0.500, 0.570, 0.736], [0.000, 0.942, 0.992], [0.500, 0.307, 0.261], [0.000, 0.681, 0.511]]
}